CsZnGaF6: relaxed, PBE.

Summary:
E in Ha/atom: -0.1640

a b c (Å): 7.4309 7.4309 7.4309
angles (deg): 120.58 119.64 89.81
Last column: nearest neighbours and their distance in Å.
Element x y z (fractional)
Cs (0.3721, 0.1221, 0.2500)  6 F 3.12-3.37
Cs (0.6279, 0.8779, 0.7500)  6 F 3.12-3.37
Zn (0.0000, 0.0000, 0.5000)  6 F 2.01-2.10
Zn (0.0000, 0.5000, 0.0000)  6 F 2.01-2.10
Ga (0.0000, 0.5000, 0.5000)  6 F 1.90-1.96
Ga (0.5000, 0.5000, 0.0000)  6 F 1.90-1.96
F (0.0754, 0.8254, 0.2500)  2 Zn 2.01
F (0.0768, 0.4365, 0.2696)  1 Ga 1.90, 1 Zn 2.10
F (0.0768, 0.8072, 0.6402)  1 Ga 1.90, 1 Zn 2.10
F (0.3080, 0.5580, 0.7500)  2 Ga 1.96
F (0.3331, 0.1928, 0.7696)  1 Ga 1.90, 1 Zn 2.10
F (0.3331, 0.5635, 0.1402)  1 Ga 1.90, 1 Zn 2.10
F (0.6669, 0.4365, 0.8598)  1 Ga 1.90, 1 Zn 2.10
F (0.6669, 0.8072, 0.2304)  1 Ga 1.90, 1 Zn 2.10
F (0.6920, 0.4420, 0.2500)  2 Ga 1.96
F (0.9232, 0.1928, 0.3598)  1 Ga 1.90, 1 Zn 2.10
F (0.9232, 0.5635, 0.7304)  1 Ga 1.90, 1 Zn 2.10
F (0.9246, 0.1746, 0.7500)  2 Zn 2.01